No. 1
{
  "formula": "HfGeOF2",
  "functional": "PBE",
  "state": "optimized geometry",
  "lattice_angstrom": [[4.317, 0.000, 0.000], [0.000, 4.317, 0.000], [0.000, 0.000, 4.035]],
  "species": ["Hf", "Ge", "O", "F", "F"],
  "fractional_positions": [[0.000, 0.000, 0.000], [0.500, 0.500, 0.500], [0.000, 0.000, 0.500], [0.000, 0.500, 0.000], [0.500, 0.000, 0.000]],
  "raw_formation_energy_kj_per_mol_fu": -1007,
  "e_above_lowest_polymorph_mev_per_atom": 0
}

=====

No. 2
{
  "formula": "HfGeO2F",
  "functional": "PBE",
  "state": "optimized geometry",
  "lattice_angstrom": [[3.919, 0.000, 0.000], [0.000, 3.919, 0.000], [0.000, 0.000, 4.062]],
  "species": ["Hf", "Ge", "O", "O", "F"],
  "fractional_positions": [[0.000, 0.000, 0.000], [0.500, 0.500, 0.500], [0.000, 0.500, 0.500], [0.500, 0.000, 0.500], [0.500, 0.500, 0.000]],
  "raw_formation_energy_kj_per_mol_fu": -401
}

=====

No. 3
{
  "formula": "HfGeO2F",
  "functional": "PBE",
  "state": "optimized geometry",
  "lattice_angstrom": [[4.115, 0.000, 0.000], [0.000, 4.115, 0.000], [0.000, 0.000, 4.216]],
  "species": ["Hf", "Ge", "O", "O", "F"],
  "fractional_positions": [[0.000, 0.000, 0.000], [0.500, 0.500, 0.500], [0.000, 0.500, 0.000], [0.500, 0.000, 0.000], [0.000, 0.000, 0.500]],
  "raw_formation_energy_kj_per_mol_fu": -1054
}